(1)
LiFeBr2: single point on PBEsol structure, SCAN.

Lattice parameters (Å, degrees): 7.178 7.188 3.573 90.00 113.61 90.00
Space group C2/m (No. 12)
Inequivalent atoms, fractional coordinates:
Li (0.000, 0.000, 0.000)
Fe (0.000, 0.500, 0.000)
Br (0.250, 0.250, 0.000)

Properties
Formation energy (no corrections) ... -2.39 eV per formula unit

(2)
K2NiOs: single point on PBEsol structure, SCAN.

Lattice parameters (Å, degrees): 3.257 3.257 9.986 90.00 90.00 90.00
Space group P4mm (No. 99)
Inequivalent atoms, fractional coordinates:
K (0.000, 0.000, 0.000)
K (0.500, 0.500, 0.435)
Ni (0.000, 0.000, 0.678)
Os (0.500, 0.500, 0.747)

Properties
Formation energy from the elements ... 0.79 eV/atom
Energy above the lowest structure with this stoichiometry ... 47 meV per atom